First-principles (GGA+U) data for a relaxed RuWO2 crystal, as listed in Alexandria.

CIF file:
```
data_RuWO2
_cell_length_a 4.736
_cell_length_b 4.736
_cell_length_c 5.927
_cell_angle_alpha 66.45
_cell_angle_beta 66.45
_cell_angle_gamma 90.00
_symmetry_space_group_name_H-M 'P 1'
_symmetry_Int_Tables_number 1
loop_
_symmetry_equiv_pos_as_xyz
'x,y,z'
loop_
_atom_site_label
_atom_site_type_symbol
_atom_site_fract_x
_atom_site_fract_y
_atom_site_fract_z
Ru1 Ru 0.500 0.500 0.000
Ru2 Ru 0.250 0.750 0.500
O1 O 0.639 0.125 0.250
O2 O 0.111 0.625 0.250
O3 O 0.375 0.361 0.750
O4 O 0.875 0.889 0.750
W1 W 0.000 0.000 0.000
W2 W 0.750 0.250 0.500
```

Calculated values
Fermi-level density of states (states/eV per cell): 3.766
VASP energy (eV per formula unit): -27.7